Density functional theory data (PBE) for an optimized crystal structure of Fe2Pt6Rh.

energy relative to the lowest polymorph listed for this composition: 13 meV/atom
uncorrected energy: -6.8743 eV per atom
ΔE_f: -0.150 eV per atom
magnetic moment: 16.06 μB/cell

abc: 8.748 3.917 8.268
angles: 90.00 109.33 90.00
Space group C2/m (No. 12)
One atom of each set of equivalent atoms:
Fe  0.163  0.000  0.059 x4
Pt  0.011  0.500  0.843 x4
Pt  0.165  0.000  0.387 x4
Pt  0.176  0.000  0.738 x4
Rh  0.000  0.500  0.500 x2